DFT (PBE-GGA) results for a geometry-optimized GaHgSe2F structure.

For the uncorrected energy, the calculation gives -2.366 eV/atom. As for the density of states at the Fermi level: 1.43 states/eV per cell.

The space group is P4/mmm (No. 123) and the conventional cell measures 4.550, 4.550 and 5.652 Å, with angles of 90.00, 90.00 and 90.00 degrees. The distinct sites, in fractional coordinates, are Ga at (0.000, 0.000, 0.000), Hg at (0.500, 0.500, 0.000), Se at (0.000, 0.500, 0.500) and F at (0.500, 0.500, 0.500).

DFT (PBE-GGA) results for a geometry-optimized GaHg3Se2F6 structure.

For the uncorrected energy, the calculation gives -3.245 eV/atom. As for the density of states at the Fermi level: 17.42 states/eV per cell.

The space group is C2/m (No. 12) and the conventional cell measures 12.565, 6.673 and 5.345 Å, with angles of 90.00, 96.87 and 90.00 degrees. The distinct sites, in fractional coordinates, are Ga at (0.000, 0.000, 0.000), Hg at (0.000, 0.500, 0.500), Hg at (0.250, 0.250, 0.000), Se at (0.201, 0.500, 0.627), F at (0.078, 0.210, 0.192) and F at (0.114, 0.000, 0.785).

DFT (PBE-GGA) results for a geometry-optimized GaSnHgF6 structure.

For the uncorrected energy, the calculation gives -4.132 eV/atom. As for the density of states at the Fermi level: 2.66 states/eV per cell.

The space group is P1 (No. 1) and the conventional cell measures 4.919, 5.444 and 6.094 Å, with angles of 63.64, 86.76 and 89.60 degrees. The distinct sites, in fractional coordinates, are Ga at (0.000, 0.000, 0.000), Sn at (0.414, 0.613, 0.785), Hg at (0.834, 0.312, 0.382), F at (0.205, 0.144, 0.688), F at (0.239, 0.212, 0.094), F at (0.244, 0.693, 0.103), F at (0.764, 0.314, 0.863), F at (0.769, 0.804, 0.877) and F at (0.818, 0.848, 0.316).

DFT (PBE-GGA) results for a geometry-optimized SrGaHg2F8 structure.

For the uncorrected energy, the calculation gives -4.018 eV/atom. As for the density of states at the Fermi level: 2.62 states/eV per cell.

The space group is P2/m (No. 10) and the conventional cell measures 5.094, 6.968 and 5.661 Å, with angles of 90.00, 90.22 and 90.00 degrees. The distinct sites, in fractional coordinates, are Sr at (0.000, 0.000, 0.000), Ga at (0.000, 0.500, 0.000), Hg at (0.500, 0.282, 0.500), F at (0.143, 0.296, 0.803), F at (0.303, 0.500, 0.195) and F at (0.365, 0.000, 0.283).

DFT (PBE-GGA) results for a geometry-optimized SrGa2HgF8 structure.

For the uncorrected energy, the calculation gives -4.577 eV/atom. As for the density of states at the Fermi level: 0.00 states/eV per cell.

The space group is P-3m1 (No. 164) and the conventional cell measures 6.4461, 6.4461 and 7.8786 Å, with angles of 90.00, 90.00 and 120.00 degrees. The distinct sites, in fractional coordinates, are Sr at (0.0000, 0.0000, 0.0000), Ga at (0.3333, 0.6667, 0.7420), Hg at (0.0000, 0.0000, 0.5000), F at (0.1852, 0.3703, 0.8371) and F at (0.3333, 0.6667, 0.5189).

DFT (PBE-GGA) results for a geometry-optimized GaHg3Te2F6 structure.

For the uncorrected energy, the calculation gives -3.214 eV/atom. As for the density of states at the Fermi level: 7.51 states/eV per cell.

The space group is C2/m (No. 12) and the conventional cell measures 12.811, 6.404 and 5.789 Å, with angles of 90.00, 95.19 and 90.00 degrees. The distinct sites, in fractional coordinates, are Ga at (0.000, 0.000, 0.000), Hg at (0.000, 0.500, 0.500), Hg at (0.250, 0.250, 0.000), Te at (0.213, 0.500, 0.595), F at (0.076, 0.216, 0.179) and F at (0.111, 0.000, 0.793).

DFT (PBE-GGA) results for a geometry-optimized TlGaHg2F8 structure.

For the uncorrected energy, the calculation gives -3.619 eV/atom. As for the density of states at the Fermi level: 0.00 states/eV per cell.

The space group is P-1 (No. 2) and the conventional cell measures 5.014, 5.270 and 7.578 Å, with angles of 94.10, 90.57 and 91.22 degrees. The distinct sites, in fractional coordinates, are Tl at (0.000, 0.000, 0.000), Ga at (0.000, 0.000, 0.500), Hg at (0.464, 0.468, 0.743), F at (0.145, 0.785, 0.310), F at (0.154, 0.806, 0.673), F at (0.315, 0.242, 0.507) and F at (0.452, 0.263, 0.036).

DFT (PBE-GGA) results for a geometry-optimized TlGaHgF6 structure.

For the uncorrected energy, the calculation gives -3.967 eV/atom. As for the density of states at the Fermi level: 0.00 states/eV per cell.

The space group is P312 (No. 149) and the conventional cell measures 5.8308, 5.8308 and 5.6962 Å, with angles of 90.00, 90.00 and 120.00 degrees. The distinct sites, in fractional coordinates, are Tl at (0.0000, 0.0000, 0.0000), Ga at (0.6667, 0.3333, 0.5000), Hg at (0.3333, 0.6667, 0.5000) and F at (0.4025, 0.0525, 0.6932).

DFT (PBE-GGA) results for a geometry-optimized TlGaHg2F structure.

For the uncorrected energy, the calculation gives -2.129 eV/atom. As for the density of states at the Fermi level: 1.91 states/eV per cell.

The space group is P4/mmm (No. 123) and the conventional cell measures 5.482, 5.482 and 4.249 Å, with angles of 90.00, 90.00 and 90.00 degrees. The distinct sites, in fractional coordinates, are Tl at (0.000, 0.000, 0.000), Ga at (0.500, 0.500, 0.500), Hg at (0.000, 0.500, 0.500) and F at (0.500, 0.500, 0.000).

DFT (PBE-GGA) results for a geometry-optimized Tl2GaHgF6 structure.

For the uncorrected energy, the calculation gives -3.872 eV/atom. As for the density of states at the Fermi level: 4.56 states/eV per cell.

The space group is Pmmn (No. 59, origin choice 2) and the conventional cell measures 6.131, 8.945 and 6.728 Å, with angles of 90.00, 90.00 and 90.00 degrees. The distinct sites, in fractional coordinates, are Tl at (0.250, 0.015, 0.217), Ga at (0.250, 0.750, 0.785), Hg at (0.250, 0.250, 0.707), F at (0.024, 0.750, 0.588), F at (0.024, 0.750, 0.988) and F at (0.250, 0.534, 0.799).

DFT (PBE-GGA) results for a geometry-optimized ZnGa2HgF structure.

For the uncorrected energy, the calculation gives -2.177 eV/atom. As for the density of states at the Fermi level: 1.87 states/eV per cell.

The space group is P4/mmm (No. 123) and the conventional cell measures 4.616, 4.616 and 5.442 Å, with angles of 90.00, 90.00 and 90.00 degrees. The distinct sites, in fractional coordinates, are Zn at (0.000, 0.000, 0.000), Ga at (0.000, 0.500, 0.500), Hg at (0.500, 0.500, 0.000) and F at (0.500, 0.500, 0.500).

DFT (PBE-GGA) results for a geometry-optimized HoGaF structure.

For the energy above the most stable polymorph in this dataset, the calculation gives 394 meV/atom. For the uncorrected energy, the calculation gives -4.649 eV/atom. As for the density of states at the Fermi level: 5.59 states/eV per cell.

The space group is I4mm (No. 107) and the conventional cell measures 3.228, 3.228 and 11.222 Å, with angles of 90.00, 90.00 and 90.00 degrees. The distinct sites, in fractional coordinates, are Ho at (0.000, 0.000, 0.000), Ga at (0.000, 0.000, 0.288) and F at (0.000, 0.000, 0.556).

Question: Which formula does entry 7 have?
Answer: TlGaHg2F8

Question: The highest uncorrected energy belongs to which entry?
Answer: TlGaHg2F

Question: Look up the uncorrected energy of the fifth one.
Answer: -4.577 eV/atom

Copy entry 10 word for word.
DFT (PBE-GGA) results for a geometry-optimized Tl2GaHgF6 structure.

For the uncorrected energy, the calculation gives -3.872 eV/atom. As for the density of states at the Fermi level: 4.56 states/eV per cell.

The space group is Pmmn (No. 59, origin choice 2) and the conventional cell measures 6.131, 8.945 and 6.728 Å, with angles of 90.00, 90.00 and 90.00 degrees. The distinct sites, in fractional coordinates, are Tl at (0.250, 0.015, 0.217), Ga at (0.250, 0.750, 0.785), Hg at (0.250, 0.250, 0.707), F at (0.024, 0.750, 0.588), F at (0.024, 0.750, 0.988) and F at (0.250, 0.534, 0.799).